# 1
# KRbP3 | Alexandria via LeMat-Bulk | GGA-PBE | optimized geometry
data_KRbP3
_chemical_formula_sum 'K1 Rb1 P3'
_space_group_name_H-M_alt 'P m -3 m'
_space_group_IT_number 221
_space_group_name_Hall '-P 4 2 3'
_cell_length_a 5.6140
_cell_length_b 5.6140
_cell_length_c 5.6140
_cell_angle_alpha 90.00
_cell_angle_beta 90.00
_cell_angle_gamma 90.00
loop_
_atom_site_label
_atom_site_fract_x
_atom_site_fract_y
_atom_site_fract_z
_atom_site_occupancy
K1 0.0000 0.0000 0.0000 1
Rb1 0.5000 0.5000 0.5000 1
P1 0.0000 0.0000 0.5000 1
# Calculated volume ... 176.9 Å³/cell
# Total moment ... 0.90 μB per cell
# E_tot ... -11.77 eV/f.u.
# Fermi-level density of states ... 1.032 states/eV/atom

---

# 2
# MgCd12Au6 | Alexandria via LeMat-Bulk | GGA-PBE | optimized geometry
data_MgCd12Au6
_chemical_formula_sum 'Mg3 Cd36 Au18'
_space_group_name_H-M_alt 'R -3'
_space_group_IT_number 148
_space_group_name_Hall '-R 3'
_cell_length_a 10.1422
_cell_length_b 10.1422
_cell_length_c 13.0614
_cell_angle_alpha 90.00
_cell_angle_beta 90.00
_cell_angle_gamma 120.00
loop_
_atom_site_label
_atom_site_fract_x
_atom_site_fract_y
_atom_site_fract_z
_atom_site_occupancy
Mg1 0.0000 0.0000 0.0000 1
Cd1 0.0384 0.8530 0.8078 1
Cd2 0.0604 0.2196 0.4148 1
Au1 0.0297 0.5920 0.7088 1
# Calculated volume ... 1163.6 Å³/cell
# Total moment ... 0.00 μB per cell
# E_tot ... -35.51 eV/f.u.
# Fermi-level density of states ... 0.194 states/eV/atom